Entry 1:
{"formula": "YUSe4", "functional": "GGA-PBE", "state": "optimized geometry", "relative_energy_mev_per_atom": 100, "e_tot_ev_per_atom": -6.56, "total_magnetization_mub_per_cell": 1.0, "lattice_angstrom": [[-2.301, 0.416, -3.540], [-2.465, -6.061, 0.890], [-4.924, 2.649, 3.512]], "species": ["Y", "U", "Se", "Se", "Se", "Se"], "frac_coords": [[0.500, 0.000, 0.000], [0.000, 0.500, 0.500], [0.000, 0.204, 0.204], [0.000, 0.796, 0.796], [0.500, 0.690, 0.310], [0.500, 0.310, 0.690]]}

Entry 2:
{"formula": "K5Re4", "functional": "GGA-PBE", "state": "optimized geometry", "formation_energy_ev_per_atom": 1.787, "e_tot_ev_per_atom": -4.36, "total_magnetization_mub_per_cell": 0.0, "lattice_angstrom": [[12.230, 0.000, 0.000], [-6.115, 10.591, 0.000], [0.000, 0.000, 4.719]], "species": ["Re", "Re", "Re", "Re", "Re", "Re", "Re", "Re", "K", "K", "K", "K", "K", "K", "K", "K", "K", "K"], "frac_coords": [[0.000, 0.000, 0.000], [0.000, 0.000, 0.500], [0.000, 0.472, 0.250], [0.528, 0.528, 0.250], [0.472, 0.000, 0.250], [0.000, 0.528, 0.750], [0.472, 0.472, 0.750], [0.528, 0.000, 0.750], [0.000, 0.737, 0.250], [0.263, 0.263, 0.250], [0.737, 0.000, 0.250], [0.000, 0.263, 0.750], [0.737, 0.737, 0.750], [0.263, 0.000, 0.750], [0.667, 0.333, 0.000], [0.333, 0.667, 0.500], [0.333, 0.667, 0.000], [0.667, 0.333, 0.500]]}

Entry 3:
{"formula": "Pu3Pa5N12", "functional": "GGA-PBE", "state": "optimized geometry", "e_tot_ev_per_atom": -10.70, "total_magnetization_mub_per_cell": 51.8, "lattice_angstrom": [[-6.953, -9.243, -3.537], [11.523, -2.294, -2.870], [-0.967, 1.422, 11.972]], "species": ["Pa", "Pa", "Pa", "Pa", "Pa", "Pa", "Pa", "Pa", "Pa", "Pa", "Pa", "Pa", "Pa", "Pa", "Pa", "Pa", "Pa", "Pa", "Pa", "Pa", "Pu", "Pu", "Pu", "Pu", "Pu", "Pu", "Pu", "Pu", "Pu", "Pu", "Pu", "Pu", "N", "N", "N", "N", "N", "N", "N", "N", "N", "N", "N", "N", "N", "N", "N", "N", "N", "N", "N", "N", "N", "N", "N", "N", "N", "N", "N", "N", "N", "N", "N", "N", "N", "N", "N", "N", "N", "N", "N", "N", "N", "N", "N", "N", "N", "N", "N", "N"], "frac_coords": [[0.125, 0.375, 0.250], [0.000, 0.500, 0.000], [0.000, 0.000, 0.000], [0.375, 0.250, 0.125], [0.500, 0.000, 0.500], [0.500, 0.500, 0.000], [0.125, 0.750, 0.375], [0.750, 0.125, 0.875], [0.750, 0.625, 0.375], [0.375, 0.125, 0.750], [0.625, 0.875, 0.250], [0.500, 0.500, 0.500], [0.500, 0.000, 0.000], [0.000, 0.000, 0.500], [0.250, 0.375, 0.625], [0.250, 0.875, 0.125], [0.000, 0.500, 0.500], [0.875, 0.250, 0.625], [0.625, 0.750, 0.875], [0.875, 0.625, 0.750], [0.750, 0.375, 0.125], [0.875, 0.750, 0.125], [0.375, 0.750, 0.625], [0.250, 0.125, 0.375], [0.875, 0.125, 0.250], [0.375, 0.625, 0.250], [0.625, 0.375, 0.750], [0.125, 0.875, 0.750], [0.750, 0.875, 0.625], [0.625, 0.250, 0.375], [0.125, 0.250, 0.875], [0.250, 0.625, 0.875], [0.698, 0.147, 0.030], [0.332, 0.530, 0.382], [0.970, 0.353, 0.302], [0.530, 0.198, 0.147], [0.550, 0.698, 0.668], [0.970, 0.618, 0.168], [0.332, 0.802, 0.450], [0.118, 0.950, 0.147], [0.618, 0.970, 0.668], [0.698, 0.550, 0.168], [0.802, 0.470, 0.353], [0.832, 0.882, 0.030], [0.147, 0.698, 0.530], [0.353, 0.382, 0.050], [0.050, 0.882, 0.353], [0.450, 0.147, 0.618], [0.050, 0.168, 0.198], [0.470, 0.668, 0.118], [0.832, 0.950, 0.302], [0.147, 0.450, 0.118], [0.353, 0.970, 0.802], [0.618, 0.647, 0.450], [0.882, 0.832, 0.530], [0.802, 0.332, 0.950], [0.382, 0.353, 0.550], [0.118, 0.168, 0.470], [0.198, 0.668, 0.050], [0.168, 0.050, 0.698], [0.647, 0.030, 0.198], [0.853, 0.550, 0.882], [0.530, 0.332, 0.882], [0.550, 0.853, 0.382], [0.950, 0.832, 0.802], [0.950, 0.118, 0.647], [0.853, 0.302, 0.470], [0.168, 0.118, 0.970], [0.647, 0.618, 0.950], [0.382, 0.030, 0.332], [0.302, 0.450, 0.832], [0.198, 0.530, 0.647], [0.882, 0.050, 0.853], [0.668, 0.198, 0.550], [0.470, 0.802, 0.853], [0.030, 0.382, 0.832], [0.450, 0.302, 0.332], [0.030, 0.647, 0.698], [0.668, 0.470, 0.618], [0.302, 0.853, 0.970]]}

Entry 4:
{"formula": "K2Zn", "functional": "GGA-PBE", "state": "optimized geometry", "relative_energy_mev_per_atom": 170, "formation_energy_ev_per_atom": 0.253, "e_tot_ev_per_atom": -0.90, "total_magnetization_mub_per_cell": 0.0, "lattice_angstrom": [[-5.267, -0.916, -3.136], [2.645, -4.699, 3.055], [-2.035, 0.905, 3.153]], "species": ["K", "K", "Zn"], "frac_coords": [[0.667, 0.333, 0.000], [0.333, 0.667, 0.000], [0.000, 0.000, 0.500]]}

Entry 5:
{"formula": "TbPmNd2Sc", "functional": "GGA-PBE", "state": "optimized geometry", "formation_energy_ev_per_atom": 0.194, "e_tot_ev_per_atom": -4.86, "total_magnetization_mub_per_cell": 0.0, "lattice_angstrom": [[6.643, 0.000, 0.000], [0.000, 7.702, 1.431], [0.000, -1.148, 6.181]], "species": ["Tb", "Tb", "Pm", "Pm", "Nd", "Nd", "Nd", "Nd", "Sc", "Sc"], "frac_coords": [[0.592, 0.000, 0.250], [0.408, 0.000, 0.750], [0.307, 0.500, 0.750], [0.693, 0.500, 0.250], [0.783, 0.706, 0.750], [0.783, 0.294, 0.750], [0.217, 0.706, 0.250], [0.217, 0.294, 0.250], [0.000, 0.000, 0.000], [0.000, 0.000, 0.500]]}

Entry 6:
{"formula": "AlSCl3", "functional": "GGA-PBE", "state": "optimized geometry", "relative_energy_mev_per_atom": 0, "e_tot_ev_per_atom": -3.00, "total_magnetization_mub_per_cell": 2.1, "lattice_angstrom": [[-4.231, -2.198, 0.320], [1.914, -3.957, -1.875], [1.128, -1.532, 4.383]], "species": ["S", "Al", "Cl", "Cl", "Cl"], "frac_coords": [[0.500, 0.500, 0.500], [0.000, 0.000, 0.000], [0.000, 0.500, 0.000], [0.000, 0.000, 0.500], [0.500, 0.000, 0.000]]}

Entry 7:
{"formula": "Nb2VFe5Co2", "functional": "GGA-PBE", "state": "optimized geometry", "formation_energy_ev_per_atom": 0.018, "e_tot_ev_per_atom": -8.56, "total_magnetization_mub_per_cell": 11.7, "lattice_angstrom": [[-2.471, 1.494, 2.283], [2.071, -5.554, 5.876], [5.829, 5.228, 2.888]], "species": ["Nb", "Nb", "Nb", "Nb", "V", "V", "Fe", "Fe", "Fe", "Fe", "Fe", "Fe", "Fe", "Fe", "Fe", "Fe", "Co", "Co", "Co", "Co"], "frac_coords": [[0.000, 0.667, 0.167], [0.000, 0.333, 0.833], [0.000, 0.167, 0.333], [0.000, 0.833, 0.667], [0.000, 0.000, 0.000], [0.000, 0.500, 0.500], [0.500, 0.202, 0.066], [0.500, 0.798, 0.934], [0.500, 0.066, 0.798], [0.500, 0.702, 0.434], [0.500, 0.934, 0.202], [0.500, 0.298, 0.566], [0.500, 0.566, 0.702], [0.500, 0.434, 0.298], [0.500, 0.500, 0.000], [0.500, 0.000, 0.500], [0.000, 0.131, 0.631], [0.000, 0.869, 0.369], [0.000, 0.631, 0.869], [0.000, 0.369, 0.131]]}

Entry 8:
{"formula": "LaGdCdRu", "functional": "GGA-PBE", "state": "optimized geometry", "formation_energy_ev_per_atom": -0.197, "e_tot_ev_per_atom": -7.50, "total_magnetization_mub_per_cell": 7.1, "lattice_angstrom": [[5.187, 0.000, 0.000], [2.594, 4.492, 0.000], [2.594, 1.497, 4.235]], "species": ["Cd", "Gd", "Ru", "La"], "frac_coords": [[0.750, 0.750, 0.750], [0.000, 0.000, 0.000], [0.250, 0.250, 0.250], [0.500, 0.500, 0.500]]}